DFT (PBE) results for a relaxed Nd3Dy2ErCoTe2 crystal.

Results
electronic total energy	-5.314	eV/atom
total magnetization	0.00	μB per formula unit
volume	500.7	Å³ per cell

The structure in CIF format:
```
data_Nd3Dy2ErCoTe2
_chemical_formula_sum 'Nd6 Dy4 Er2 Co2 Te4'
_symmetry_space_group_name_H-M 'A m m 2'
_symmetry_Int_Tables_number 38
_symmetry_space_group_name_Hall 'A 2 -2'
_cell_length_a 4.016
_cell_length_b 14.698
_cell_length_c 8.483
_cell_angle_alpha 90.00
_cell_angle_beta 90.00
_cell_angle_gamma 90.00
loop_
_atom_site_label
_atom_site_fract_x
_atom_site_fract_y
_atom_site_fract_z
Nd1 0.000 0.000 0.000
Nd2 0.000 0.202 0.394
Dy1 0.500 0.116 0.712
Er1 0.500 0.000 0.365
Co1 0.000 0.000 0.595
Te1 0.500 0.167 0.096
```


DFT (PBE) results for a relaxed Nd2TmCo2B2N3 crystal.

Results
electronic total energy	-7.753	eV/atom
total magnetization	0.05	μB per formula unit
volume	252.3	Å³ per cell

The structure in CIF format:
```
data_Nd2TmCo2B2N3
_chemical_formula_sum 'Nd4 Tm2 Co4 B4 N6'
_symmetry_space_group_name_H-M 'I 4/m m m'
_symmetry_Int_Tables_number 139
_symmetry_space_group_name_Hall '-I 4 2'
_cell_length_a 3.579
_cell_length_b 3.579
_cell_length_c 19.693
_cell_angle_alpha 90.00
_cell_angle_beta 90.00
_cell_angle_gamma 90.00
loop_
_atom_site_label
_atom_site_fract_x
_atom_site_fract_y
_atom_site_fract_z
Nd1 0.000 0.000 0.126
Tm1 0.000 0.000 0.500
Co1 0.000 0.500 0.250
B1 0.000 0.000 0.305
N1 0.000 0.000 0.000
N2 0.000 0.000 0.381
```


DFT (PBE) results for a relaxed Nd2YO3 crystal.

Results
electronic total energy	-7.901	eV/atom
total magnetization	0.01	μB per formula unit
volume	91.2	Å³ per cell

The structure in CIF format:
```
data_Nd2YO3
_chemical_formula_sum 'Nd2 Y1 O3'
_symmetry_space_group_name_H-M 'P -3 m 1'
_symmetry_Int_Tables_number 164
_symmetry_space_group_name_Hall '-P 3 2"'
_cell_length_a 3.4685
_cell_length_b 3.4685
_cell_length_c 8.7543
_cell_angle_alpha 90.00
_cell_angle_beta 90.00
_cell_angle_gamma 120.00
loop_
_atom_site_label
_atom_site_fract_x
_atom_site_fract_y
_atom_site_fract_z
Nd1 0.3333 0.6667 0.1698
Y1 0.0000 0.0000 0.5000
O1 0.0000 0.0000 0.0000
O2 0.3333 0.6667 0.6407
```


DFT (PBE) results for a relaxed PuNbPt crystal.

Results
total magnetization	0.01	μB per formula unit
excess energy over the best structure of this formula in the dataset	0.642	eV per atom
volume	258.7	Å³ per cell
calculated formation energy	0.6693	eV per atom

The structure in CIF format:
```
data_PuNbPt
_chemical_formula_sum 'Pu4 Nb4 Pt4'
_symmetry_space_group_name_H-M 'F -4 3 m'
_symmetry_Int_Tables_number 216
_symmetry_space_group_name_Hall 'F -4 2 3'
_cell_length_a 6.372
_cell_length_b 6.372
_cell_length_c 6.372
_cell_angle_alpha 90.00
_cell_angle_beta 90.00
_cell_angle_gamma 90.00
loop_
_atom_site_label
_atom_site_fract_x
_atom_site_fract_y
_atom_site_fract_z
Pu1 0.000 0.000 0.000
Nb1 0.250 0.250 0.750
Pt1 0.250 0.250 0.250
```